Here is a relaxed structure of SiSb2TePt from the Alexandria database. Energies are from PBE. Values from VASP.

Values from the calculation:
VASP energy in eV/atom: -3.6957
Spin magnetization in μB/cell: 0.00

```
&SYSTEM
  ibrav = 0, nat = 5, ntyp = 4
/
ATOMIC_SPECIES
Si 28.09 Si.upf
Sb 121.76 Sb.upf
Te 127.60 Te.upf
Pt 195.08 Pt.upf
CELL_PARAMETERS angstrom
5.103 0.000 0.000
0.000 5.103 0.000
0.000 0.000 5.057
ATOMIC_POSITIONS crystal
Si 0.000 0.000 0.000
Sb 0.000 0.500 0.000
Sb 0.500 0.000 0.000
Te 0.000 0.000 0.500
Pt 0.500 0.500 0.500
```


Here is a relaxed structure of CdRePt2 from the Alexandria database. Energies are from PBE. Values from VASP.

Values from the calculation:
VASP energy in eV/atom: -6.2681
Spin magnetization in μB/cell: 0.00
Formation enthalpy at 0 K in meV per atom: 93

```
&SYSTEM
  ibrav = 0, nat = 4, ntyp = 3
/
ATOMIC_SPECIES
Pt 195.08 Pt.upf
Cd 112.41 Cd.upf
Re 186.21 Re.upf
CELL_PARAMETERS angstrom
-4.108 -0.093 -5.195
-2.954 -4.776 -3.512
1.469 3.480 5.441
ATOMIC_POSITIONS crystal
Pt 0.292 0.792 0.500
Pt 0.040 0.040 0.000
Cd 0.697 0.197 0.500
Re 0.471 0.471 0.000
```


Here is a relaxed structure of ScAg3Te from the Alexandria database. Energies are from PBE. Values from VASP.

Values from the calculation:
VASP energy in eV/atom: -2.7681
Spin magnetization in μB/cell: 0.00

```
&SYSTEM
  ibrav = 0, nat = 5, ntyp = 3
/
ATOMIC_SPECIES
Ag 107.87 Ag.upf
Te 127.60 Te.upf
Sc 44.96 Sc.upf
CELL_PARAMETERS angstrom
5.184 0.000 0.000
0.000 5.184 0.000
0.000 0.000 5.184
ATOMIC_POSITIONS crystal
Ag 0.000 0.000 0.500
Ag 0.500 0.000 0.000
Ag 0.000 0.500 0.000
Te 0.500 0.500 0.500
Sc 0.000 0.000 0.000
```


Here is a relaxed structure of GdHfIr4 from the Alexandria database. Energies are from PBE. Values from VASP.

Values from the calculation:
VASP energy in eV/atom: -10.5951
Spin magnetization in μB/cell: 7.06
Formation enthalpy at 0 K in meV per atom: -682

```
&SYSTEM
  ibrav = 0, nat = 6, ntyp = 3
/
ATOMIC_SPECIES
Ir 192.22 Ir.upf
Hf 178.49 Hf.upf
Gd 157.25 Gd.upf
CELL_PARAMETERS angstrom
-1.713 -2.849 4.135
2.997 -3.923 1.942
2.328 0.536 4.738
ATOMIC_POSITIONS crystal
Ir 0.625 0.625 0.625
Ir 0.125 0.625 0.625
Ir 0.625 0.625 0.125
Ir 0.625 0.125 0.625
Hf 0.250 0.250 0.250
Gd 0.000 0.000 0.000
```


Here is a relaxed structure of Tm5Sc2Cd from the Alexandria database. Energies are from PBE. Values from VASP.

Values from the calculation:
VASP energy in eV/atom: -4.4961
Spin magnetization in μB/cell: 0.00
Formation enthalpy at 0 K in meV per atom: -4

```
&SYSTEM
  ibrav = 0, nat = 8, ntyp = 3
/
ATOMIC_SPECIES
Cd 112.41 Cd.upf
Tm 168.93 Tm.upf
Sc 44.96 Sc.upf
CELL_PARAMETERS angstrom
7.842 -0.001 0.000
-0.001 7.836 0.000
-3.921 -3.918 3.577
ATOMIC_POSITIONS crystal
Cd 0.203 0.203 0.406
Tm 0.240 0.696 0.936
Tm 0.240 0.240 0.937
Tm 0.696 0.240 0.936
Tm 0.774 0.775 0.549
Tm 0.696 0.696 0.937
Sc 0.714 0.213 0.427
Sc 0.213 0.713 0.427
```


Here is a relaxed structure of LaTb2Tm from the Alexandria database. Energies are from PBE. Values from VASP.

Values from the calculation:
VASP energy in eV/atom: -4.6398
Spin magnetization in μB/cell: 0.00
Formation enthalpy at 0 K in meV per atom: 25

```
&SYSTEM
  ibrav = 0, nat = 4, ntyp = 3
/
ATOMIC_SPECIES
Tb 158.93 Tb.upf
Tm 168.93 Tm.upf
La 138.91 La.upf
CELL_PARAMETERS angstrom
-0.583 -2.950 -1.958
2.512 -2.555 -0.186
-4.035 -7.116 8.635
ATOMIC_POSITIONS crystal
Tb 0.753 0.753 0.742
Tb 0.247 0.247 0.258
Tm 0.500 0.500 0.500
La 0.000 0.000 0.000
```